Compound: SmFe2B2O7
Source: the Alexandria database
Functional: PBE with a Hubbard U
Structure: relaxed

a = 4.9921 Å, b = 4.9921 Å, c = 25.4384 Å
α = 90.00°, β = 90.00°, γ = 120.00°
Space group R32 (No. 155, hexagonal axes)
Symmetry-distinct sites (fractional):
Sm  0.0000  0.0000  0.0000 x3
Fe  0.0000  0.0000  0.4285 x6
B  0.0000  0.0000  0.2737 x6
O  0.0000  0.0000  0.5000 x3
O  0.0095  0.2821  0.2752 x18

DOS(E_F) = 0.61 states/eV/atom
density = 3.59 g/cm3
DFT total energy = -7.52 eV/atom
calculated volume = 15.25 Å³ per atom